Record 1
# PrDyTmCd

A relaxed PrDyTmCd crystal (GGA-PBE, Alexandria via LeMat-Bulk).

Properties
energy above the most stable polymorph in this dataset	0	meV/atom
calculated total energy	-3.841	eV per atom
E_form	-0.1488	eV/atom
N(E_F)	1.017	states/eV per atom

Structure (CIF):
```
data_PrDyTmCd
_chemical_formula_sum 'Pr1 Dy1 Tm1 Cd1'
_cell_length_a 3.630
_cell_length_b 3.630
_cell_length_c 9.004
_cell_angle_alpha 90.00
_cell_angle_beta 90.00
_cell_angle_gamma 90.00
_symmetry_space_group_name_H-M 'P 4 m m'
_symmetry_Int_Tables_number 99
_symmetry_space_group_name_Hall 'P 4 -2'
loop_
_atom_site_label
_atom_site_type_symbol
_atom_site_fract_x
_atom_site_fract_y
_atom_site_fract_z
Pr1 Pr 0.000 0.000 0.000
Dy1 Dy 0.500 0.500 0.717
Tm1 Tm 0.500 0.500 0.279
Cd1 Cd 0.000 0.000 0.494
```

=====

Record 2
# PdI3F

A relaxed PdI3F crystal (GGA-PBE, Alexandria via LeMat-Bulk).

Properties
ΔE_f (raw)	0.52	eV/atom
energy above the most stable polymorph in this dataset	463	meV/atom
calculated total energy	-1.821	eV per atom
N(E_F)	1.221	states/eV per atom

Structure (CIF):
```
data_PdI3F
_chemical_formula_sum 'Pd1 I3 F1'
_cell_length_a 5.250
_cell_length_b 5.250
_cell_length_c 5.250
_cell_angle_alpha 90.00
_cell_angle_beta 90.00
_cell_angle_gamma 90.00
_symmetry_space_group_name_H-M 'P m -3 m'
_symmetry_Int_Tables_number 221
_symmetry_space_group_name_Hall '-P 4 2 3'
loop_
_atom_site_label
_atom_site_type_symbol
_atom_site_fract_x
_atom_site_fract_y
_atom_site_fract_z
Pd1 Pd 0.000 0.000 0.000
I1 I 0.000 0.500 0.500
F1 F 0.500 0.500 0.500
```

=====

Record 3
# Ba7Au3Cl

A relaxed Ba7Au3Cl crystal (GGA-PBE, Alexandria via LeMat-Bulk).

Properties
ΔE_f (raw)	-0.68	eV/atom
calculated total energy	-2.966	eV per atom
N(E_F)	0.956	states/eV per atom

Structure (CIF):
```
data_Ba7Au3Cl
_chemical_formula_sum 'Ba14 Au6 Cl2'
_cell_length_a 9.809
_cell_length_b 12.948
_cell_length_c 8.608
_cell_angle_alpha 90.00
_cell_angle_beta 112.32
_cell_angle_gamma 90.00
_symmetry_space_group_name_H-M 'C 1 m 1'
_symmetry_Int_Tables_number 8
_symmetry_space_group_name_Hall 'C -2y'
loop_
_atom_site_label
_atom_site_type_symbol
_atom_site_fract_x
_atom_site_fract_y
_atom_site_fract_z
Ba1 Ba 0.000 0.000 0.000
Ba2 Ba 0.016 0.500 0.082
Ba3 Ba 0.235 0.245 0.897
Ba4 Ba 0.333 0.000 0.493
Ba5 Ba 0.411 0.329 0.427
Au1 Au 0.086 0.234 0.179
Au2 Au 0.157 0.000 0.736
Cl1 Cl 0.149 0.500 0.796
```

=====

Record 4
# AcGdAs2

A relaxed AcGdAs2 crystal (GGA-PBE, Alexandria via LeMat-Bulk).

Properties
energy above the most stable polymorph in this dataset	0	meV/atom
calculated total energy	-8.352	eV per atom
E_form	-1.4800	eV/atom
N(E_F)	0.100	states/eV per atom

Structure (CIF):
```
data_AcGdAs2
_chemical_formula_sum 'Ac3 Gd3 As6'
_cell_length_a 4.3647
_cell_length_b 4.3647
_cell_length_c 21.3651
_cell_angle_alpha 90.00
_cell_angle_beta 90.00
_cell_angle_gamma 120.00
_symmetry_space_group_name_H-M 'R -3 m'
_symmetry_Int_Tables_number 166
_symmetry_space_group_name_Hall '-R 3 2"'
loop_
_atom_site_label
_atom_site_type_symbol
_atom_site_fract_x
_atom_site_fract_y
_atom_site_fract_z
Ac1 Ac 0.0000 0.0000 0.0000
Gd1 Gd 0.0000 0.0000 0.5000
As1 As 0.0000 0.0000 0.2431
```

=====

Record 5
# K3Gd5P6O24

A relaxed K3Gd5P6O24 crystal (GGA-PBE, Alexandria via LeMat-Bulk).

Properties
ΔE_f (raw)	-2.83	eV/atom
calculated total energy	-8.756	eV per atom
N(E_F)	0.000	states/eV per atom

Structure (CIF):
```
data_K3Gd5P6O24
_chemical_formula_sum 'K12 Gd20 P24 O96'
_cell_length_a 17.666
_cell_length_b 7.004
_cell_length_c 18.297
_cell_angle_alpha 90.00
_cell_angle_beta 114.17
_cell_angle_gamma 90.00
_symmetry_space_group_name_H-M 'C 1 2/c 1'
_symmetry_Int_Tables_number 15
_symmetry_space_group_name_Hall '-C 2yc'
loop_
_atom_site_label
_atom_site_type_symbol
_atom_site_fract_x
_atom_site_fract_y
_atom_site_fract_z
K1 K 0.000 0.170 0.250
K2 K 0.078 0.100 0.074
Gd1 Gd 0.000 0.363 0.750
Gd2 Gd 0.145 0.413 0.481
Gd3 Gd 0.220 0.124 0.792
P1 P 0.074 0.403 0.618
P2 P 0.137 0.086 0.914
P3 P 0.207 0.381 0.342
O1 O 0.005 0.482 0.130
O2 O 0.050 0.305 0.537
O3 O 0.093 0.129 0.820
O4 O 0.098 0.100 0.428
O5 O 0.101 0.250 0.687
O6 O 0.119 0.449 0.329
O7 O 0.125 0.254 0.961
O8 O 0.147 0.459 0.126
O9 O 0.201 0.213 0.284
O10 O 0.229 0.066 0.925
O11 O 0.245 0.041 0.182
O12 O 0.248 0.169 0.569
```

=====

Record 6
# RbCdF3

A relaxed RbCdF3 crystal (GGA-PBE, Alexandria via LeMat-Bulk).

Properties
ΔE_f (raw)	-2.43	eV/atom
calculated total energy	-3.932	eV per atom
N(E_F)	0.000	states/eV per atom

Structure (CIF):
```
data_RbCdF3
_chemical_formula_sum 'Rb6 Cd6 F18'
_cell_length_a 6.1930
_cell_length_b 6.1930
_cell_length_c 18.0913
_cell_angle_alpha 90.00
_cell_angle_beta 90.00
_cell_angle_gamma 120.00
_symmetry_space_group_name_H-M 'R -3'
_symmetry_Int_Tables_number 148
_symmetry_space_group_name_Hall '-R 3'
loop_
_atom_site_label
_atom_site_type_symbol
_atom_site_fract_x
_atom_site_fract_y
_atom_site_fract_z
Rb1 Rb 0.0000 0.0000 0.1344
Cd1 Cd 0.0000 0.0000 0.3416
F1 F 0.0146 0.4119 0.9290
```

=====

Record 7
# PrErRh2

A relaxed PrErRh2 crystal (GGA-PBE, Alexandria via LeMat-Bulk).

Properties
calculated total energy	-6.597	eV per atom
E_form	-0.5856	eV/atom
N(E_F)	0.361	states/eV per atom

Structure (CIF):
```
data_PrErRh2
_chemical_formula_sum 'Pr4 Er4 Rh8'
_cell_length_a 5.700
_cell_length_b 5.672
_cell_length_c 12.251
_cell_angle_alpha 90.00
_cell_angle_beta 113.12
_cell_angle_gamma 90.00
_symmetry_space_group_name_H-M 'P 1 2/c 1'
_symmetry_Int_Tables_number 13
_symmetry_space_group_name_Hall '-P 2yc'
loop_
_atom_site_label
_atom_site_type_symbol
_atom_site_fract_x
_atom_site_fract_y
_atom_site_fract_z
Pr1 Pr 0.133 0.239 0.122
Er1 Er 0.432 0.313 0.878
Rh1 Rh 0.081 0.251 0.651
Rh2 Rh 0.370 0.169 0.391
```

=====

Record 8
# Zr2TaAgH

A relaxed Zr2TaAgH crystal (GGA-PBE, Alexandria via LeMat-Bulk).

Properties
calculated total energy	-7.052	eV per atom
N(E_F)	0.868	states/eV per atom

Structure (CIF):
```
data_Zr2TaAgH
_chemical_formula_sum 'Zr2 Ta1 Ag1 H1'
_cell_length_a 4.603
_cell_length_b 4.603
_cell_length_c 3.914
_cell_angle_alpha 90.00
_cell_angle_beta 90.00
_cell_angle_gamma 90.00
_symmetry_space_group_name_H-M 'P 4/m m m'
_symmetry_Int_Tables_number 123
_symmetry_space_group_name_Hall '-P 4 2'
loop_
_atom_site_label
_atom_site_type_symbol
_atom_site_fract_x
_atom_site_fract_y
_atom_site_fract_z
Zr1 Zr 0.000 0.500 0.000
Ta1 Ta 0.000 0.000 0.500
Ag1 Ag 0.500 0.500 0.500
H1 H 0.000 0.000 0.000
```

=====

N(E_F) of number 4 (AcGdAs2)? 0.100 states/eV per atom

=====

Which formula does entry 7 have? PrErRh2